A relaxed GdBi2 crystal, computed with GGA-PBE.

Cell and atoms, written as POSCAR:
```
GdBi2
1.0
3.554 0.000 0.000
0.000 3.554 0.000
0.000 0.000 14.814
Gd Bi
2 4
Direct
0.000 0.000 0.000 Gd
0.500 0.500 0.500 Gd
0.000 0.000 0.349 Bi
0.000 0.000 0.651 Bi
0.500 0.500 0.151 Bi
0.500 0.500 0.849 Bi
```

Total magnetic moment in μB per cell: 0.016
Raw total energy in eV/atom: -4.62
Calculated volume in Å³/cell: 187
Symmetry: I4/mmm (139)